Compound: ScAlRe3
Source: the Alexandria database
Functional: PBE-GGA
Structure: relaxed

Values from the calculation:
As for the space group: Pm-3m, No. 221. For the total energy, the calculation gives -7.1636 eV/atom. As for the calculated formation energy: 224 kJ per mole of atoms. The excess energy over the best structure of this formula in the dataset is 1.052 eV per atom.

Cell and atoms, written as POSCAR:
```
ScAlRe3
1.0
-2.5252 -2.7897 2.6190
2.7430 -3.5075 -1.0914
2.6678 0.9659 3.6011
Sc Re Al
1 3 1
direct
0.0000 0.0000 0.0000 Sc
0.0000 0.5000 0.0000 Re
0.0000 0.0000 0.5000 Re
0.5000 0.0000 0.0000 Re
0.5000 0.5000 0.5000 Al
```